# Y2AlSiNi PBE-GGA relaxed
# VASP energy in eV/atom: -6.172
data_Y2AlSiNi
_cell_length_a 4.065
_cell_length_b 8.667
_cell_length_c 5.621
_cell_angle_alpha 90.00
_cell_angle_beta 90.00
_cell_angle_gamma 90.00
_symmetry_space_group_name_H-M 'I m m 2'
_symmetry_Int_Tables_number 44
_symmetry_space_group_name_Hall 'I 2 -2'
loop_
_atom_site_label
_atom_site_type_symbol
_atom_site_fract_x
_atom_site_fract_y
_atom_site_fract_z
Y1 Y 0.000 0.207 0.000
Al1 Al 0.000 0.000 0.493
Si1 Si 0.000 0.500 0.286
Ni1 Ni 0.000 0.500 0.718